# 1
PuReSi2 | PBE | optimized geometry

Output
The total energy is -9.71 eV per atom. The formation energy (no corrections) comes out at -0.30 eV/atom.

a b c (Å): 3.096 3.096 6.907
angles (deg): 90.00 90.00 90.00
Space group P4/mmm (No. 123)
Symmetry-distinct sites (fractional):
Pu  0.000  0.000  0.000 [1 per cell]
Re  0.000  0.000  0.500 [1 per cell]
Si  0.500  0.500  0.305 [2 per cell]

# 2
Li2CdIn2Hg4 | PBE | optimized geometry

Output
The total energy is -1.41 eV per atom. Its formation energy is -0.14 eV/atom.

a b c (Å): 5.129 6.083 7.428
angles (deg): 80.87 71.74 69.28
Space group P-1 (No. 2)
Symmetry-distinct sites (fractional):
Li  0.113  0.209  0.040 [2 per cell]
Cd  0.000  0.000  0.500 [1 per cell]
In  0.474  0.839  0.709 [2 per cell]
Hg  0.176  0.465  0.661 [2 per cell]
Hg  0.335  0.725  0.143 [2 per cell]

# 3
OsSO2 | PBE | optimized geometry

Output
The total energy is -6.02 eV per atom. The formation energy (no corrections) comes out at 0.30 eV/atom.

a b c (Å): 6.012 6.012 8.408
angles (deg): 90.00 90.00 90.00
Space group I-42d (No. 122)
Symmetry-distinct sites (fractional):
Os  0.000  0.000  0.000 [4 per cell]
S  0.000  0.000  0.500 [4 per cell]
O  0.027  0.750  0.125 [8 per cell]

# 4
As2RuSeN | PBE | optimized geometry

Output
The total energy is -5.16 eV per atom. The formation energy (no corrections) comes out at 0.91 eV/atom.

a b c (Å): 4.191 4.191 4.344
angles (deg): 90.00 90.00 90.00
Space group P4/mmm (No. 123)
Symmetry-distinct sites (fractional):
As  0.000  0.500  0.000 [2 per cell]
Ru  0.000  0.000  0.500 [1 per cell]
Se  0.500  0.500  0.500 [1 per cell]
N  0.500  0.500  0.000 [1 per cell]

# 5
PrPuFeN3 | PBE | optimized geometry

Output
The total energy is -9.63 eV per atom. The formation energy (no corrections) comes out at -0.87 eV/atom.

a b c (Å): 7.287 3.383 7.290
angles (deg): 90.00 100.17 90.00
Space group P2_1/m (No. 11)
Symmetry-distinct sites (fractional):
Pr  0.174  0.250  0.203 [2 per cell]
Pu  0.349  0.750  0.826 [2 per cell]
Fe  0.086  0.250  0.583 [2 per cell]
N  0.131  0.250  0.849 [2 per cell]
N  0.173  0.750  0.489 [2 per cell]
N  0.427  0.750  0.137 [2 per cell]

# 6
HOsS2N | PBE | optimized geometry

Output
The total energy is -5.20 eV per atom.

a b c (Å): 4.767 4.767 3.690
angles (deg): 90.00 90.00 90.00
Space group P4/mmm (No. 123)
Symmetry-distinct sites (fractional):
H  0.000  0.000  0.000 [1 per cell]
Os  0.500  0.500  0.500 [1 per cell]
S  0.000  0.500  0.500 [2 per cell]
N  0.500  0.500  0.000 [1 per cell]

# 7
Ag13Sb3 | PBE | optimized geometry

Output
The total energy is -3.02 eV per atom. The formation energy (no corrections) comes out at 0.07 eV/atom.

a b c (Å): 6.485 9.506 10.197
angles (deg): 90.00 90.00 90.00
Space group Amm2 (No. 38)
Symmetry-distinct sites (fractional):
Ag  0.000  0.000  0.000 [2 per cell]
Ag  0.000  0.000  0.517 [2 per cell]
Ag  0.000  0.249  0.689 [4 per cell]
Ag  0.239  0.000  0.753 [4 per cell]
Ag  0.241  0.248  0.443 [8 per cell]
Ag  0.500  0.000  0.520 [2 per cell]
Ag  0.500  0.245  0.689 [4 per cell]
Sb  0.246  0.000  0.269 [4 per cell]
Sb  0.500  0.000  0.978 [2 per cell]

# 8
Ca2TlCl | PBE | optimized geometry

Output
The total energy is -2.32 eV per atom. The formation energy (no corrections) comes out at -0.26 eV/atom.

a b c (Å): 7.994 7.994 7.994
angles (deg): 90.00 90.00 90.00
Space group F-43m (No. 216)
Symmetry-distinct sites (fractional):
Ca  0.000  0.000  0.000 [4 per cell]
Ca  0.250  0.250  0.250 [4 per cell]
Tl  0.250  0.250  0.750 [4 per cell]
Cl  0.000  0.000  0.500 [4 per cell]

Number 1: volume 66.2 Å³/cell. Number 2: volume 205.6 Å³/cell. Number 3: volume 303.8 Å³/cell. Number 4: volume 76.3 Å³/cell. Number 5: volume 176.9 Å³/cell. Number 6: volume 83.9 Å³/cell. Number 7: volume 628.6 Å³/cell. Number 8: volume 510.8 Å³/cell.